This record from Alexandria describes a relaxed Ca2TmIn crystal. The functional is PBE.

Geometry as POSCAR:
```
Ca2TmIn
1.0
1.808 1.044 12.508
-1.808 1.044 12.508
0.000 -2.088 12.508
Ca Tm In
2 1 1
direct
0.087 0.087 0.087
0.913 0.913 0.913
0.500 0.500 0.500
0.000 0.000 0.000
```

Computed properties:
Its density of states at the Fermi level is 1.268 states/eV/atom. The value obtained for the energy of formation is 0.1373 eV per atom. The value obtained for the calculated total energy is -10.66 eV per cell. As for the energy above the most stable polymorph in this dataset: 337.5 meV per atom. Its symmetry is R-3m (166).